{"formula": "SmAgMo2O8", "functional": "GGA+U", "state": "relaxed", "volume_a3_per_cell": 190.3, "energy_ev_per_atom": -6.95, "sg": "I-4m2 (119)", "total_magnetization_mub_per_fu": 0.00, "lattice": [[6.296, 0.028, 0.000], [-2.768, 5.655, 0.000], [-1.764, -2.841, 5.334]], "species": ["Mo", "Mo", "O", "O", "O", "O", "O", "O", "O", "O", "Ag", "Sm"], "fractional_positions": [[0.500, 0.500, 0.000], [0.750, 0.250, 0.500], [0.349, 0.152, 0.803], [0.393, 0.075, 0.318], [0.848, 0.651, 0.197], [0.454, 0.651, 0.803], [0.757, 0.075, 0.682], [0.349, 0.546, 0.197], [0.925, 0.243, 0.318], [0.925, 0.607, 0.682], [0.000, 0.000, 0.000], [0.250, 0.750, 0.500]]}